# PBE LaMgI2, optimized geometry
# relative energy among the computed polymorphs = 119 meV/atom
# size of the total moment = 0.002 μB per atom
# raw formation energy = -0.52 eV per atom
data_LaMgI2
_chemical_formula_sum 'La3 Mg3 I6'
_symmetry_space_group_name_H-M 'R -3 m'
_symmetry_Int_Tables_number 166
_symmetry_space_group_name_Hall '-R 3 2"'
_cell_length_a 4.0335
_cell_length_b 4.0335
_cell_length_c 30.4364
_cell_angle_alpha 90.00
_cell_angle_beta 90.00
_cell_angle_gamma 120.00
loop_
_atom_site_label
_atom_site_type_symbol
_atom_site_fract_x
_atom_site_fract_y
_atom_site_fract_z
La1 La 0.0000 0.0000 0.0000
Mg1 Mg 0.0000 0.0000 0.5000
I1 I 0.0000 0.0000 0.1079